# 1
Material: Mg3Ni2
Method: DFT, GGA-PBE
State: optimized geometry Values from VASP.

Structure (Quantum ESPRESSO input):
```
&SYSTEM
  ibrav = 0, nat = 10, ntyp = 2
/
ATOMIC_SPECIES
Mg 24.30 Mg.upf
Ni 58.69 Ni.upf
CELL_PARAMETERS angstrom
2.9080 -0.0039 0.1978
1.4475 5.6391 0.0985
2.2905 0.0039 10.0459
ATOMIC_POSITIONS crystal
Mg 0.8719 0.8282 0.7108
Ni 0.7544 0.6052 0.9450
Mg 0.0213 0.9904 0.9837
Mg 0.6433 0.1528 0.2819
Mg 0.5454 0.3472 0.7819
Ni 0.1079 0.8949 0.4450
Mg 0.7604 0.5096 0.4838
Mg 0.4525 0.6717 0.2108
Ni 0.2483 0.3476 0.0784
Ni 0.3445 0.1522 0.5786
```

As for the total energy: -3.3582 eV/atom. For the formation energy from the elements, the calculation gives -0.089 eV/atom.

# 2
Material: Mg2Ni
Method: DFT, GGA-PBE
State: optimized geometry Values from VASP.

Structure (Quantum ESPRESSO input):
```
&SYSTEM
  ibrav = 0, nat = 6, ntyp = 2
/
ATOMIC_SPECIES
Ni 58.69 Ni.upf
Mg 24.30 Mg.upf
CELL_PARAMETERS angstrom
-4.6462 -2.2582 0.1480
-4.0127 -1.3796 2.9501
-5.6010 4.9867 -0.2974
ATOMIC_POSITIONS crystal
Ni 0.8084 0.8084 0.0802
Ni 0.1916 0.1916 0.9198
Mg 0.5054 0.5054 0.8074
Mg 0.8312 0.8312 0.6140
Mg 0.1688 0.1688 0.3860
Mg 0.4946 0.4946 0.1926
```

As for the total energy: -3.0592 eV/atom. For the formation energy from the elements, the calculation gives -0.069 eV/atom.

# 3
Material: Mg5Ni
Method: DFT, GGA-PBE
State: optimized geometry Values from VASP.

Structure (Quantum ESPRESSO input):
```
&SYSTEM
  ibrav = 0, nat = 6, ntyp = 2
/
ATOMIC_SPECIES
Mg 24.30 Mg.upf
Ni 58.69 Ni.upf
CELL_PARAMETERS angstrom
2.6350 -4.5639 0.0000
2.6350 4.5639 0.0000
0.0000 0.0000 4.7949
ATOMIC_POSITIONS crystal
Mg 0.0000 0.6868 0.0000
Mg 0.3132 0.3132 0.0000
Ni 0.0000 0.0000 0.5000
Mg 0.6868 0.0000 0.0000
Mg 0.6667 0.3333 0.5000
Mg 0.3333 0.6667 0.5000
```

As for the total energy: -2.2925 eV/atom. For the formation energy from the elements, the calculation gives 0.000 eV/atom.

# 4
Material: Mg7Ni6
Method: DFT, GGA-PBE
State: optimized geometry Values from VASP.

Structure (Quantum ESPRESSO input):
```
&SYSTEM
  ibrav = 0, nat = 13, ntyp = 2
/
ATOMIC_SPECIES
Ni 58.69 Ni.upf
Mg 24.30 Mg.upf
CELL_PARAMETERS angstrom
-7.6726 3.7736 2.8801
-8.3348 2.5843 -2.2926
-8.8241 -1.2400 1.4148
ATOMIC_POSITIONS crystal
Ni 0.1472 0.1472 0.1472
Ni 0.3339 0.3339 0.3339
Ni 0.0464 0.0464 0.0464
Ni 0.6661 0.6661 0.6661
Mg 0.0737 0.5830 0.5830
Mg 0.5830 0.5830 0.0737
Mg 0.5830 0.0737 0.5830
Ni 0.8528 0.8528 0.8528
Mg 0.4170 0.9263 0.4170
Mg 0.5000 0.5000 0.5000
Mg 0.4170 0.4170 0.9263
Mg 0.9263 0.4170 0.4170
Ni 0.9536 0.9536 0.9536
```

As for the total energy: -3.1584 eV/atom. For the formation energy from the elements, the calculation gives 0.369 eV/atom.

# 5
Material: Mg5Ni
Method: DFT, GGA-PBE
State: optimized geometry Values from VASP.

Structure (Quantum ESPRESSO input):
```
&SYSTEM
  ibrav = 0, nat = 6, ntyp = 2
/
ATOMIC_SPECIES
Mg 24.30 Mg.upf
Ni 58.69 Ni.upf
CELL_PARAMETERS angstrom
2.1761 -6.1981 0.0000
2.1761 6.1981 0.0000
0.0000 0.0000 4.2976
ATOMIC_POSITIONS crystal
Mg 0.0000 0.0000 0.5000
Mg 0.6553 0.3447 0.5000
Mg 0.8462 0.1538 0.0000
Mg 0.3447 0.6553 0.5000
Ni 0.5000 0.5000 0.0000
Mg 0.1538 0.8462 0.0000
```

As for the total energy: -2.2921 eV/atom. For the formation energy from the elements, the calculation gives 0.000 eV/atom.

# 6
Material: Mg5Ni3
Method: DFT, GGA-PBE
State: optimized geometry Values from VASP.

Structure (Quantum ESPRESSO input):
```
&SYSTEM
  ibrav = 0, nat = 16, ntyp = 2
/
ATOMIC_SPECIES
Ni 58.69 Ni.upf
Mg 24.30 Mg.upf
CELL_PARAMETERS angstrom
-0.4806 -1.0003 7.5134
-6.0675 -1.2514 -4.3934
1.4559 -5.0333 -0.5770
ATOMIC_POSITIONS crystal
Ni 0.5956 0.0000 0.2500
Mg 0.3333 0.6667 0.0000
Mg 0.6667 0.3333 0.0000
Mg 0.0000 0.7497 0.7500
Mg 0.3333 0.6667 0.5000
Mg 0.7497 0.0000 0.7500
Mg 0.2503 0.0000 0.2500
Mg 0.0000 0.2503 0.2500
Ni 0.4044 0.4044 0.2500
Ni 0.4044 0.0000 0.7500
Mg 0.6667 0.3333 0.5000
Ni 0.0000 0.5956 0.2500
Ni 0.0000 0.4044 0.7500
Ni 0.5956 0.5956 0.7500
Mg 0.2503 0.2503 0.7500
Mg 0.7497 0.7497 0.2500
```

As for the total energy: -3.2446 eV/atom. For the formation energy from the elements, the calculation gives -0.080 eV/atom.

- Number 2 is which compound?
  Mg2Ni